# 1
CaEuTmCd | Alexandria via LeMat-Bulk | PBE | optimized geometry; space group = F-43m (216); density of states at the Fermi level = 3.9 states/eV per cell; VASP energy = -4.408 eV per atom; volume = 125.3 Å³/f.u.; DFT formation energy = 0.01 eV/atom
1.0
0.000 3.972 3.972
3.972 0.000 3.972
3.972 3.972 0.000
Ca Eu Tm Cd
1 1 1 1
Direct
0.000 0.000 0.000
0.750 0.750 0.750
0.250 0.250 0.250
0.500 0.500 0.500

=====

# 2
Nd2EuSn | Alexandria via LeMat-Bulk | PBE | optimized geometry; space group = R-3m (166); density of states at the Fermi level = 5.2 states/eV per cell; E above lowest polymorph = 367 meV/atom; VASP energy = -6.002 eV per atom; volume = 137.4 Å³/f.u.; DFT formation energy = -0.05 eV/atom
1.0
1.809 1.045 12.120
-1.809 1.045 12.120
0.000 -2.089 12.120
Nd Eu Sn
2 1 1
Direct
0.095 0.095 0.095
0.905 0.905 0.905
0.000 0.000 0.000
0.500 0.500 0.500

=====

# 3
RbPaGaI6 | Alexandria via LeMat-Bulk | PBE | optimized geometry; space group = P-31c (163); density of states at the Fermi level = 1.2 states/eV per cell; uncorrected formation energy = -0.968 eV per atom; VASP energy = -3.500 eV per atom; volume = 470.2 Å³/f.u.
1.0
8.310 0.000 0.000
-4.155 7.196 0.000
0.000 0.000 15.727
Rb Pa Ga I
2 2 2 12
Direct
0.000 0.000 0.000
0.000 0.000 0.500
0.333 0.667 0.250
0.667 0.333 0.750
0.333 0.667 0.750
0.667 0.333 0.250
0.022 0.379 0.139
0.022 0.644 0.361
0.356 0.379 0.361
0.356 0.978 0.139
0.379 0.022 0.639
0.379 0.356 0.861
0.621 0.644 0.139
0.621 0.978 0.361
0.644 0.022 0.861
0.644 0.621 0.639
0.978 0.356 0.639
0.978 0.621 0.861

=====

# 4
LiPdI | Alexandria via LeMat-Bulk | PBE | optimized geometry; space group = F-43m (216); density of states at the Fermi level = 0.0 states/eV per cell; uncorrected formation energy = -0.491 eV per atom; E above lowest polymorph = 66 meV/atom; VASP energy = -3.377 eV per atom; volume = 65.6 Å³/f.u.
1.0
0.000 3.202 3.202
3.202 0.000 3.202
3.202 3.202 0.000
Li Pd I
1 1 1
Direct
0.000 0.000 0.000
0.750 0.750 0.750
0.500 0.500 0.500

=====

# 5
Ca2SbPt | Alexandria via LeMat-Bulk | PBE | optimized geometry; space group = Cmmm (65); density of states at the Fermi level = 1.9 states/eV per cell; uncorrected formation energy = -0.793 eV per atom; VASP energy = -4.334 eV per atom; volume = 98.2 Å³/f.u.
1.0
3.384 -3.878 0.000
3.384 3.878 0.000
0.000 0.000 3.741
Ca Sb Pt
2 1 1
Direct
0.000 0.500 0.000
0.500 0.000 0.000
0.000 0.000 0.500
0.500 0.500 0.500

=====

# 6
CaPuNbO6 | Alexandria via LeMat-Bulk | PBE | optimized geometry; space group = P-31c (163); density of states at the Fermi level = 18.8 states/eV per cell; uncorrected formation energy = -2.773 eV per atom; VASP energy = -9.012 eV per atom; volume = 131.9 Å³/f.u.
1.0
5.564 0.000 0.000
-2.782 4.818 0.000
0.000 0.000 9.837
Ca Pu Nb O
2 2 2 12
Direct
0.000 0.000 0.000
0.000 0.000 0.500
0.333 0.667 0.250
0.667 0.333 0.750
0.333 0.667 0.750
0.667 0.333 0.250
0.014 0.370 0.640
0.014 0.644 0.860
0.356 0.370 0.860
0.356 0.986 0.640
0.370 0.014 0.140
0.370 0.356 0.360
0.630 0.644 0.640
0.630 0.986 0.860
0.644 0.014 0.360
0.644 0.630 0.140
0.986 0.356 0.140
0.986 0.630 0.360

=====

Q: What is the formula in the sixth record?
A: CaPuNbO6

=====

Q: The lowest density of states at the Fermi level belongs to which entry?
A: LiPdI

=====

Please write out number 1 again, unchanged.
CaEuTmCd | Alexandria via LeMat-Bulk | PBE | optimized geometry; space group = F-43m (216); density of states at the Fermi level = 3.9 states/eV per cell; VASP energy = -4.408 eV per atom; volume = 125.3 Å³/f.u.; DFT formation energy = 0.01 eV/atom
1.0
0.000 3.972 3.972
3.972 0.000 3.972
3.972 3.972 0.000
Ca Eu Tm Cd
1 1 1 1
Direct
0.000 0.000 0.000
0.750 0.750 0.750
0.250 0.250 0.250
0.500 0.500 0.500